Computed, not measured: crystalline LiTaRu2 at its relaxed geometry at the PBE level of DFT.

Calculated values
The value obtained for the magnetization is 0.0 μB per cell. The space-group type is I-42d (122). For the offset from the most stable computed form, the calculation gives 0.630 eV/atom. The formation energy from the elements comes out at 430 meV/atom.

Cell: 5.473 5.473 5.473 Å, 104.71 104.71 119.47°
Positions (direct):
Li (0.000, 0.000, 0.000)
Li (0.750, 0.250, 0.500)
Ta (0.250, 0.750, 0.500)
Ta (0.500, 0.500, 0.000)
Ru (0.117, 0.625, 0.992)
Ru (0.375, 0.367, 0.492)
Ru (0.633, 0.125, 0.008)
Ru (0.875, 0.883, 0.508)